# MnCoMoRu | Alexandria | PBE | optimized geometry
# Formation energy = 0.43 eV/f.u.
data_MnCoMoRu
_chemical_formula_sum 'Mn4 Co4 Mo4 Ru4'
_cell_length_a 6.035
_cell_length_b 6.035
_cell_length_c 6.035
_cell_angle_alpha 90.00
_cell_angle_beta 90.00
_cell_angle_gamma 90.00
_symmetry_space_group_name_H-M 'F -4 3 m'
_symmetry_Int_Tables_number 216
_symmetry_space_group_name_Hall 'F -4 2 3'
loop_
_atom_site_label
_atom_site_type_symbol
_atom_site_fract_x
_atom_site_fract_y
_atom_site_fract_z
Mn1 Mn 0.000 0.000 0.000
Co1 Co 0.250 0.250 0.250
Mo1 Mo 0.000 0.000 0.500
Ru1 Ru 0.250 0.250 0.750

# Mn2CoMoSe | Alexandria | PBE | optimized geometry
# Formation energy (no corrections) = 1.34 eV/atom
data_Mn2CoMoSe
_chemical_formula_sum 'Mn2 Co1 Mo1 Se1'
_cell_length_a 4.746
_cell_length_b 4.746
_cell_length_c 4.727
_cell_angle_alpha 90.00
_cell_angle_beta 90.00
_cell_angle_gamma 90.00
_symmetry_space_group_name_H-M 'P 4/m m m'
_symmetry_Int_Tables_number 123
_symmetry_space_group_name_Hall '-P 4 2'
loop_
_atom_site_label
_atom_site_type_symbol
_atom_site_fract_x
_atom_site_fract_y
_atom_site_fract_z
Mn1 Mn 0.000 0.500 0.000
Co1 Co 0.000 0.000 0.500
Mo1 Mo 0.500 0.500 0.000
Se1 Se 0.500 0.500 0.500

# Mn2Co5SiMo2 | Alexandria | PBE | optimized geometry
# Formation energy (no corrections) = 0.07 eV/atom
data_Mn2Co5SiMo2
_chemical_formula_sum 'Mn4 Co10 Si2 Mo4'
_cell_length_a 8.081
_cell_length_b 8.081
_cell_length_c 3.689
_cell_angle_alpha 90.00
_cell_angle_beta 90.00
_cell_angle_gamma 90.00
_symmetry_space_group_name_H-M 'P 4/m b m'
_symmetry_Int_Tables_number 127
_symmetry_space_group_name_Hall '-P 4 2ab'
loop_
_atom_site_label
_atom_site_type_symbol
_atom_site_fract_x
_atom_site_fract_y
_atom_site_fract_z
Mn1 Mn 0.131 0.369 0.000
Co1 Co 0.000 0.500 0.500
Co2 Co 0.070 0.200 0.500
Si1 Si 0.000 0.000 0.000
Mo1 Mo 0.165 0.665 0.000

# Mn5Co2SiMo2 | Alexandria | PBE | optimized geometry
# Formation energy (no corrections) = 0.09 eV/atom
data_Mn5Co2SiMo2
_chemical_formula_sum 'Mn10 Co4 Si2 Mo4'
_cell_length_a 8.061
_cell_length_b 8.061
_cell_length_c 3.734
_cell_angle_alpha 90.00
_cell_angle_beta 90.00
_cell_angle_gamma 90.00
_symmetry_space_group_name_H-M 'P 4/m b m'
_symmetry_Int_Tables_number 127
_symmetry_space_group_name_Hall '-P 4 2ab'
loop_
_atom_site_label
_atom_site_type_symbol
_atom_site_fract_x
_atom_site_fract_y
_atom_site_fract_z
Mn1 Mn 0.000 0.500 0.000
Mn2 Mn 0.068 0.196 0.000
Co1 Co 0.130 0.370 0.500
Si1 Si 0.000 0.000 0.500
Mo1 Mo 0.165 0.665 0.500

# TaMnCoMo | Alexandria | PBE | optimized geometry
# Formation energy = 0.15 eV/f.u.
data_TaMnCoMo
_chemical_formula_sum 'Ta4 Mn4 Co4 Mo4'
_cell_length_a 6.067
_cell_length_b 6.067
_cell_length_c 6.067
_cell_angle_alpha 90.00
_cell_angle_beta 90.00
_cell_angle_gamma 90.00
_symmetry_space_group_name_H-M 'F -4 3 m'
_symmetry_Int_Tables_number 216
_symmetry_space_group_name_Hall 'F -4 2 3'
loop_
_atom_site_label
_atom_site_type_symbol
_atom_site_fract_x
_atom_site_fract_y
_atom_site_fract_z
Ta1 Ta 0.000 0.000 0.000
Mn1 Mn 0.250 0.250 0.250
Co1 Co 0.250 0.250 0.750
Mo1 Mo 0.000 0.000 0.500

# MnCoTcMo | Alexandria | PBE | optimized geometry
# Formation energy = 0.39 eV/f.u.
data_MnCoTcMo
_chemical_formula_sum 'Mn4 Co4 Tc4 Mo4'
_cell_length_a 6.036
_cell_length_b 6.036
_cell_length_c 6.036
_cell_angle_alpha 90.00
_cell_angle_beta 90.00
_cell_angle_gamma 90.00
_symmetry_space_group_name_H-M 'F -4 3 m'
_symmetry_Int_Tables_number 216
_symmetry_space_group_name_Hall 'F -4 2 3'
loop_
_atom_site_label
_atom_site_type_symbol
_atom_site_fract_x
_atom_site_fract_y
_atom_site_fract_z
Mn1 Mn 0.000 0.000 0.000
Co1 Co 0.250 0.250 0.750
Tc1 Tc 0.250 0.250 0.250
Mo1 Mo 0.000 0.000 0.500